[1]
This record from Alexandria describes a relaxed LaRu2Pb crystal. The functional is PBE-GGA.

Calculated values
M_tot   0.00 μB/f.u.
Space group   No. 123
Volume   20.4 Å³/atom
Final energy   -6.616 eV/atom
E_form   17.48 kJ per mole of atoms

abc: 3.4740 3.4740 6.7659
angles: 90.00 90.00 89.95
Last column: nearest neighbours and their distance in Å.
Positions (direct):
La (0.5000, 0.5000, 0.2500)  8 Ru 3.07, 2 Pb 3.38
Pb (0.5000, 0.5000, 0.7500)  8 Ru 2.90
Ru (0.0000, 0.0000, 0.9786)  4 Pb 2.90, 4 La 3.07, 1 Ru 3.09
Ru (0.0000, 0.0000, 0.5214)  4 Pb 2.90, 4 La 3.07, 1 Ru 3.09


[2]
This record from Alexandria describes a relaxed NaTb2Ag crystal. The functional is PBE-GGA.

Calculated values
Energy above the most stable polymorph in this dataset   0.0000 eV/atom
M_tot   0.00 μB/f.u.
Space group   No. 123
Volume   29.9 Å³/atom
Final energy   -3.329 eV/atom
E_form   2.80 kJ per mole of atoms

abc: 3.5387 3.5387 9.5574
angles: 90.00 90.00 90.00
Last column: nearest neighbours and their distance in Å.
Positions (direct):
Na (0.5000, 0.5000, 0.5000)  4 Na 3.54, 8 Tb 3.85
Tb (0.0000, 0.0000, 0.8067)  4 Ag 3.11
Tb (0.0000, 0.0000, 0.1933)  4 Ag 3.11
Ag (0.5000, 0.5000, 0.0000)  8 Tb 3.11


[3]
This record from Alexandria describes a relaxed BaCr2Hg crystal. The functional is PBE-GGA.

Calculated values
M_tot   0.57 μB/f.u.
Space group   No. 6
Volume   23.2 Å³/atom
Final energy   -4.956 eV/atom
E_form   39.75 kJ per mole of atoms

abc: 3.3699 3.3621 8.8490
angles: 67.84 90.00 90.00
Last column: nearest neighbours and their distance in Å.
Positions (direct):
Ba (0.5000, 0.7402, 0.7604)  4 Ba 3.36-3.37, 4 Hg 3.55, 5 Cr 3.60-3.68
Cr (0.0000, 0.9091, 0.0905)  4 Cr 2.57, 1 Hg 2.86
Cr (0.5000, 0.2904, 0.2098)  4 Cr 2.57
Hg (0.0000, 0.5604, 0.4393)  5 Cr 2.86-3.04


[4]
This record from Alexandria describes a relaxed Os3PtRh crystal. The functional is PBE-GGA.

Calculated values
Energy above the most stable polymorph in this dataset   0.0000 eV/atom
M_tot   1.85 μB/f.u.
Space group   No. 221
Volume   19.7 Å³/atom
Final energy   -6.869 eV/atom
E_form   245.76 kJ per mole of atoms

abc: 4.6180 4.6180 4.6180
angles: 90.00 90.00 90.00
Last column: nearest neighbours and their distance in Å.
Positions (direct):
Rh (0.0000, 0.0000, 0.0000)  6 Os 2.31
Os (0.0000, 0.5000, 0.0000)  2 Rh 2.31
Os (0.0000, 0.0000, 0.5000)  2 Rh 2.31
Os (0.5000, 0.0000, 0.0000)  2 Rh 2.31
Pt (0.5000, 0.5000, 0.5000)  12 Os 3.27


[5]
This record from Alexandria describes a relaxed TbSmHo2As4 crystal. The functional is PBE-GGA.

Calculated values
M_tot   0.00 μB/f.u.
Space group   No. 10
Volume   25.1 Å³/atom
Final energy   -6.167 eV/atom
E_form   -147.57 kJ per mole of atoms

abc: 4.1405 7.1663 7.1679
angles: 70.53 90.00 90.00
Last column: nearest neighbours and their distance in Å.
Positions (direct):
Tb (0.0000, 0.5000, 0.5000)  6 As 2.94
Sm (0.5000, 0.5000, 0.0000)  6 As 2.95
Ho (0.0000, 0.0000, 0.0000)  6 As 2.92
Ho (0.5000, 0.0000, 0.5000)  6 As 2.90
As (0.0000, 0.7555, 0.7460)  3 Ho 2.90-2.92, 1 Tb 2.94, 2 Sm 2.95
As (0.0000, 0.2445, 0.2540)  3 Ho 2.90-2.92, 1 Tb 2.94, 2 Sm 2.95
As (0.5000, 0.7541, 0.2507)  3 Ho 2.90-2.92, 2 Tb 2.94, 1 Sm 2.95
As (0.5000, 0.2459, 0.7493)  3 Ho 2.90-2.92, 2 Tb 2.94, 1 Sm 2.95


[6]
This record from Alexandria describes a relaxed ZnSiSe2N crystal. The functional is PBE-GGA.

Calculated values
Energy above the most stable polymorph in this dataset   0.7979 eV/atom
Formation energy from raw total energies   484 kJ/mol of formula units
M_tot   0.00 μB/f.u.
Space group   No. 123
Volume   18.8 Å³/atom
Final energy   -3.395 eV/atom

abc: 5.0605 5.0605 3.6792
angles: 90.00 90.00 90.00
Last column: nearest neighbours and their distance in Å.
Positions (direct):
Zn (0.0000, 0.0000, 0.0000)  2 N 1.84
Si (0.5000, 0.5000, 0.5000)  8 Se 3.13
Se (0.0000, 0.5000, 0.0000)  2 Zn 2.53
Se (0.5000, 0.0000, 0.0000)  2 Zn 2.53
N (0.0000, 0.0000, 0.5000)  2 Zn 1.84


[7]
This record from Alexandria describes a relaxed BaPuBi3 crystal. The functional is PBE-GGA.

Calculated values
M_tot   5.00 μB/f.u.
Space group   No. 11
Volume   36.6 Å³/atom
Final energy   -6.023 eV/atom
E_form   -42.76 kJ per mole of atoms

abc: 6.7499 11.9187 9.5199
angles: 107.28 90.00 90.00
Last column: nearest neighbours and their distance in Å.
Positions (direct):
Ba (0.2500, 0.5591, 0.3975)  8 Bi 3.57-3.91
Ba (0.7500, 0.4409, 0.6025)  8 Bi 3.57-3.91
Ba (0.2500, 0.0591, 0.8975)  8 Bi 3.57-3.91
Ba (0.7500, 0.9409, 0.1025)  8 Bi 3.57-3.91
Pu (0.7501, 0.3822, 0.0674)  7 Bi 3.16-3.41
Pu (0.2501, 0.1178, 0.4326)  7 Bi 3.16-3.41
Pu (0.2499, 0.6178, 0.9326)  7 Bi 3.16-3.41
Pu (0.7499, 0.8822, 0.5674)  7 Bi 3.16-3.41
Bi (0.2499, 0.3658, 0.6798)  1 Bi 3.15, 2 Pu 3.19-3.24
Bi (0.2501, 0.8658, 0.1798)  1 Bi 3.15, 2 Pu 3.19-3.24
Bi (0.5001, 0.2500, 0.2500)  2 Pu 3.16, 4 Bi 3.37-3.47
Bi (0.0001, 0.2500, 0.2500)  2 Pu 3.16, 4 Bi 3.37-3.47
Bi (0.4999, 0.7500, 0.7500)  2 Pu 3.16, 4 Bi 3.37-3.47
Bi (0.7501, 0.6342, 0.3202)  1 Bi 3.15, 2 Pu 3.19-3.24
Bi (0.7501, 0.1275, 0.4868)  3 Bi 3.15-3.47, 3 Pu 3.23-3.41
Bi (0.2499, 0.8725, 0.5132)  3 Bi 3.15-3.47, 3 Pu 3.23-3.41
Bi (0.7499, 0.1342, 0.8202)  1 Bi 3.15, 2 Pu 3.19-3.24
Bi (0.9999, 0.7500, 0.7500)  2 Pu 3.16, 4 Bi 3.37-3.47
Bi (0.7499, 0.6275, 0.9868)  3 Bi 3.15-3.47, 3 Pu 3.23-3.41
Bi (0.2501, 0.3725, 0.0132)  3 Bi 3.15-3.47, 3 Pu 3.23-3.41


[8]
This record from Alexandria describes a relaxed Sc2TiAgN crystal. The functional is PBE-GGA.

Calculated values
Formation energy from raw total energies   -408 kJ/mol of formula units
M_tot   0.00 μB/f.u.
Space group   No. 123
Volume   16.4 Å³/atom
Final energy   -7.192 eV/atom

abc: 4.4589 4.4589 4.1249
angles: 90.00 90.00 90.00
Last column: nearest neighbours and their distance in Å.
Positions (direct):
Sc (0.0000, 0.5000, 0.0000)  2 N 2.23
Sc (0.5000, 0.0000, 0.0000)  2 N 2.23
N (0.0000, 0.0000, 0.0000)  2 Ti 2.06, 4 Sc 2.23
Ag (0.5000, 0.5000, 0.5000)  8 Sc 3.04, 4 Ti 3.15
Ti (0.0000, 0.0000, 0.5000)  2 N 2.06